# 1
Computed, not measured: a geometry-optimized BeReSb structure at the PBE level of DFT.

The structure in extended XYZ format:
```
12
Lattice="5.763 0.000 0.000 0.000 5.763 0.000 0.000 0.000 5.763" Properties=species:S:1:pos:R:3 pbc="T T T"
Be 0.000 0.000 0.000
Be 0.000 2.881 2.881
Be 2.881 0.000 2.881
Be 2.881 2.881 0.000
Re 1.441 1.441 4.322
Re 1.441 4.322 1.441
Re 4.322 1.441 1.441
Re 4.322 4.322 4.322
Sb 1.441 1.441 1.441
Sb 1.441 4.322 4.322
Sb 4.322 1.441 4.322
Sb 4.322 4.322 1.441
```

Computed properties:
Total magnetization   0.0 μB per formula unit
Raw total energy   -6.071 eV per atom
Distance to the lowest polymorph of the same formula   0 meV per atom



# 2
Computed, not measured: a geometry-optimized BeReSiSb structure at the PBE level of DFT.

The structure in extended XYZ format:
```
16
Lattice="6.260 0.000 0.000 0.000 6.260 0.000 0.000 0.000 6.260" Properties=species:S:1:pos:R:3 pbc="T T T"
Be 0.000 0.000 0.000
Be 0.000 3.130 3.130
Be 3.130 0.000 3.130
Be 3.130 3.130 0.000
Re 0.000 0.000 3.130
Re 0.000 3.130 0.000
Re 3.130 0.000 0.000
Re 3.130 3.130 3.130
Si 1.565 1.565 1.565
Si 1.565 4.695 4.695
Si 4.695 1.565 4.695
Si 4.695 4.695 1.565
Sb 1.565 1.565 4.695
Sb 1.565 4.695 1.565
Sb 4.695 1.565 1.565
Sb 4.695 4.695 4.695
```

Computed properties:
Total magnetization   0.0 μB per formula unit
Raw total energy   -5.788 eV per atom
Distance to the lowest polymorph of the same formula   0 meV per atom



# 3
Computed, not measured: a geometry-optimized BeReSiSb structure at the PBE level of DFT.

The structure in extended XYZ format:
```
16
Lattice="6.237 0.000 0.000 0.000 6.237 0.000 0.000 0.000 6.237" Properties=species:S:1:pos:R:3 pbc="T T T"
Be 0.000 0.000 0.000
Be 0.000 3.118 3.118
Be 3.118 0.000 3.118
Be 3.118 3.118 0.000
Re 1.559 1.559 1.559
Re 1.559 4.677 4.677
Re 4.677 1.559 4.677
Re 4.677 4.677 1.559
Si 0.000 0.000 3.118
Si 0.000 3.118 0.000
Si 3.118 0.000 0.000
Si 3.118 3.118 3.118
Sb 1.559 1.559 4.677
Sb 1.559 4.677 1.559
Sb 4.677 1.559 1.559
Sb 4.677 4.677 4.677
```

Computed properties:
Total magnetization   0.0 μB per formula unit
Raw total energy   -5.646 eV per atom
Distance to the lowest polymorph of the same formula   142 meV per atom



What is the distance to the lowest polymorph of the same formula in the second record? 0 meV per atom